w | # BaNb2Au

A geometry-optimized BaNb2Au structure (PBE, the Alexandria database).

The structure in POSCAR format:
```
BaNb2Au
1.0
-2.4418 2.4418 10.2902
2.4418 -2.4418 10.2902
2.4418 2.4418 -10.2902
Ba Nb Au
2 4 2
Direct
0.3750 0.6250 0.7500
0.6250 0.3750 0.2500
0.0000 0.0000 0.0000
0.0000 0.0000 0.5000
0.0000 0.5000 0.0000
0.5000 0.0000 0.5000
0.1250 0.8750 0.2500
0.8750 0.1250 0.7500
```

space-group type	No. 141

***

x | # BaNb2Au

A geometry-optimized BaNb2Au structure (PBE, the Alexandria database).

The structure in POSCAR format:
```
BaNb2Au
1.0
0.0000 3.4726 3.4726
3.4726 0.0000 3.4726
3.4726 3.4726 0.0000
Ba Nb Au
1 2 1
Direct
0.0000 0.0000 0.0000
0.2500 0.2500 0.2500
0.7500 0.7500 0.7500
0.5000 0.5000 0.5000
```

space-group type	No. 225

***

So which one is most stable? That would be w, about 14.0 kJ/mol of atoms below the next structure.

***

w | # BaNdAu

A geometry-optimized BaNdAu structure (PBE, the Alexandria database).

The structure in POSCAR format:
```
BaNdAu
1.0
-1.9642 1.9642 6.9775
1.9642 -1.9642 6.9775
1.9642 1.9642 -6.9775
Ba Nd Au
1 1 1
Direct
0.0000 0.0000 0.0000
0.2623 0.2623 0.0000
0.6661 0.6661 0.0000
```

space-group type	No. 107

***

x | # BaNdAu

A geometry-optimized BaNdAu structure (PBE, the Alexandria database).

The structure in POSCAR format:
```
BaNdAu
1.0
5.2793 0.0000 0.0000
0.0000 5.2793 0.0000
0.0000 0.0000 7.8090
Ba Nd Au
2 2 2
Direct
0.2500 0.2500 0.1199
0.7500 0.7500 0.8801
0.2500 0.7500 0.5000
0.7500 0.2500 0.5000
0.2500 0.2500 0.6906
0.7500 0.7500 0.3094
```

space-group type	No. 129

***

y | # BaNdAu

A geometry-optimized BaNdAu structure (PBE, the Alexandria database).

The structure in POSCAR format:
```
BaNdAu
1.0
5.0825 0.0000 0.0000
-2.5412 4.4015 0.0000
0.0000 0.0000 4.8954
Ba Nd Au
1 1 1
Direct
0.0000 0.0000 0.0000
0.6667 0.3333 0.5149
0.3333 0.6667 0.4250
```

space-group type	No. 156

***

So which one is most stable? That would be x, about 6.3 kJ/mol of atoms below the next structure.